No. 1
Tm4ZnIn2 PBE optimized geometry; offset from the most stable computed form = 0.0 meV per atom; E_tot = -3.784 eV per atom; ΔH_f (0 K) = -0.264 eV/atom
1.0
5.4867 0.0000 0.0000
0.0000 6.4987 0.0000
-1.6864 0.0000 10.2175
Tm Zn In
8 2 4
direct
0.1378 0.2500 0.1219
0.2321 0.7500 0.4331
0.3182 0.0055 0.7290
0.3182 0.4945 0.7290
0.6818 0.5055 0.2710
0.6818 0.9945 0.2710
0.7679 0.2500 0.5669
0.8622 0.7500 0.8781
0.0693 0.7500 0.1654
0.9307 0.2500 0.8346
0.2263 0.2500 0.4276
0.4100 0.7500 0.0113
0.5900 0.2500 0.9887
0.7737 0.7500 0.5724

***

No. 2
Tm6Zn2In PBE optimized geometry; offset from the most stable computed form = 0.0 meV per atom; E_tot = -3.827 eV per atom; ΔH_f (0 K) = -0.259 eV/atom
1.0
-4.7874 4.8429 5.0645
4.7874 -4.8429 5.0645
4.7874 4.8429 -5.0645
Tm Zn In
12 4 2
direct
0.0288 0.8164 0.2124
0.2404 0.5338 0.2934
0.2404 0.9470 0.7066
0.2752 0.3150 0.5903
0.2752 0.6850 0.9602
0.3959 0.1836 0.2124
0.6041 0.8164 0.7876
0.7248 0.3150 0.0398
0.7248 0.6850 0.4097
0.7596 0.0530 0.2934
0.7596 0.4662 0.7066
0.9712 0.1836 0.7876
0.0000 0.1378 0.1378
0.0000 0.8622 0.8622
0.3758 0.3758 0.0000
0.6242 0.6242 0.0000
0.0000 0.5000 0.5000
0.5000 0.0000 0.5000

***

No. 3
Tm2ZnIn3 PBE optimized geometry; offset from the most stable computed form = 0.0 meV per atom; E_tot = -3.440 eV per atom; ΔH_f (0 K) = -0.367 eV/atom
1.0
0.0000 4.8354 8.3830
3.4695 0.0000 8.3830
3.4695 4.8354 0.0000
Tm Zn In
4 2 6
direct
0.2494 0.7506 0.7506
0.2500 0.2500 0.2500
0.7500 0.7500 0.7500
0.7506 0.2494 0.2494
0.1671 0.1671 0.8329
0.8329 0.8329 0.1671
0.1564 0.6713 0.3287
0.3279 0.3279 0.6721
0.3287 0.8436 0.1564
0.6713 0.1564 0.8436
0.6721 0.6721 0.3279
0.8436 0.3287 0.6713

***

No. 4
Tm2Zn3In PBE optimized geometry; offset from the most stable computed form = 0.0 meV per atom; E_tot = -2.964 eV per atom; ΔH_f (0 K) = -0.380 eV/atom
1.0
0.0000 4.5528 7.8906
3.4989 0.0000 7.8906
3.4989 4.5528 0.0000
Tm Zn In
4 6 2
direct
0.2432 0.7568 0.7568
0.2500 0.2500 0.2500
0.7500 0.7500 0.7500
0.7568 0.2432 0.2432
0.1622 0.1622 0.8378
0.1626 0.6761 0.3239
0.3239 0.8374 0.1626
0.6761 0.1626 0.8374
0.8374 0.3239 0.6761
0.8378 0.8378 0.1622
0.3346 0.3346 0.6654
0.6654 0.6654 0.3346